Record 1
Computed, not measured: HoAgSe after structural relaxation at the PBE level of DFT.

Output
Energy relative to the elements, uncorrected   -1.0441 eV/atom
Crystal system   tetragonal
Total magnetic moment   0.00 μB/cell
D(E_F)   2.65 states/eV/cell

Lattice parameters (Å, degrees): 4.029 4.029 8.456 90.00 90.00 90.00
Space group P4/nmm (No. 129, origin choice 2)
Inequivalent atoms, fractional coordinates:
Ho 0.250 0.250 0.201 x2
Ag 0.250 0.750 0.500 x2
Se 0.250 0.250 0.858 x2

---

Record 2
Computed, not measured: Ho2AgSe after structural relaxation at the PBE level of DFT.

Output
Energy relative to the elements, uncorrected   -1.0226 eV/atom
Crystal system   orthorhombic
Total magnetic moment   0.00 μB/cell
D(E_F)   7.26 states/eV/cell

Lattice parameters (Å, degrees): 4.050 23.150 4.150 90.00 90.00 90.00
Space group Cmcm (No. 63)
Inequivalent atoms, fractional coordinates:
Ho 0.000 0.070 0.250 x4
Ho 0.000 0.317 0.250 x4
Ag 0.000 0.457 0.250 x4
Se 0.000 0.194 0.250 x4

---

Record 3
Computed, not measured: Ho2AgSe after structural relaxation at the PBE level of DFT.

Output
Energy relative to the elements, uncorrected   -0.8601 eV/atom
Crystal system   trigonal
Total magnetic moment   0.00 μB/cell
D(E_F)   8.86 states/eV/cell

Lattice parameters (Å, degrees): 3.9016 3.9016 23.1158 90.00 90.00 120.00
Space group R3m (No. 160, hexagonal axes)
Inequivalent atoms, fractional coordinates:
Ho 0.0000 0.0000 0.0000 x3
Ho 0.0000 0.0000 0.1657 x3
Ag 0.0000 0.0000 0.5820 x3
Se 0.0000 0.0000 0.7511 x3

---

Record 4
Computed, not measured: Ho3Ag4SnSe8 after structural relaxation at the PBE level of DFT.

Output
Energy relative to the elements, uncorrected   -0.9347 eV/atom
Crystal system   trigonal
Total magnetic moment   0.00 μB/cell
D(E_F)   5.42 states/eV/cell

Lattice parameters (Å, degrees): 8.2922 8.2922 19.4556 90.00 90.00 120.00
Space group R-3m (No. 166, hexagonal axes)
Inequivalent atoms, fractional coordinates:
Ho 0.0000 0.5000 0.0000 x9
Ag 0.0000 0.0000 0.5000 x3
Ag 0.0000 0.5000 0.5000 x9
Sn 0.0000 0.0000 0.0000 x3
Se 0.0000 0.0000 0.2524 x6
Se 0.0005 0.5002 0.2507 x18

---

Record 5
Computed, not measured: Ho2Ag3SnSe6 after structural relaxation at the PBE level of DFT.

Output
Energy relative to the elements, uncorrected   -0.8568 eV/atom
Crystal system   monoclinic
Total magnetic moment   0.00 μB/cell
D(E_F)   3.77 states/eV/cell

Lattice parameters (Å, degrees): 19.385 4.054 7.780 90.00 102.32 90.00
Space group C2/m (No. 12)
Inequivalent atoms, fractional coordinates:
Ho 0.172 0.000 0.329 x4
Ag 0.000 0.500 0.500 x2
Ag 0.201 0.000 0.851 x4
Sn 0.000 0.500 0.000 x2
Se 0.016 0.000 0.272 x4
Se 0.153 0.500 0.063 x4
Se 0.176 0.500 0.590 x4

---

Record 6
Computed, not measured: HoAg2Sn3Se6 after structural relaxation at the PBE level of DFT.

Output
Energy relative to the elements, uncorrected   -0.6040 eV/atom
Crystal system   monoclinic
Total magnetic moment   0.00 μB/cell
D(E_F)   7.66 states/eV/cell

Lattice parameters (Å, degrees): 7.159 12.438 7.248 90.00 109.06 90.00
Space group C2/m (No. 12)
Inequivalent atoms, fractional coordinates:
Ho 0.000 0.000 0.000 x2
Ag 0.000 0.329 0.000 x4
Sn 0.000 0.162 0.500 x4
Sn 0.000 0.500 0.500 x2
Se 0.244 0.163 0.237 x8
Se 0.247 0.000 0.757 x4

---

Record 7
Computed, not measured: Sr3Ho3AgSe8 after structural relaxation at the PBE level of DFT.

Output
Energy relative to the elements, uncorrected   -1.6901 eV/atom
Crystal system   trigonal
Total magnetic moment   0.00 μB/cell
D(E_F)   1.06 states/eV/cell

Lattice parameters (Å, degrees): 8.3731 8.3731 21.1040 90.00 90.00 120.00
Space group R-3m (No. 166, hexagonal axes)
Inequivalent atoms, fractional coordinates:
Sr 0.0000 0.5000 0.0000 x9
Ho 0.0000 0.5000 0.5000 x9
Ag 0.0000 0.0000 0.5000 x3
Se 0.0000 0.0000 0.2430 x6
Se 0.0128 0.5064 0.7574 x18

---

Record 8
Computed, not measured: Sr4Ho3AgSe8 after structural relaxation at the PBE level of DFT.

Output
Energy relative to the elements, uncorrected   -1.7309 eV/atom
Crystal system   trigonal
Total magnetic moment   0.00 μB/cell
D(E_F)   12.38 states/eV/cell

Lattice parameters (Å, degrees): 8.4810 8.4810 20.8959 90.00 90.00 120.00
Space group R-3m (No. 166, hexagonal axes)
Inequivalent atoms, fractional coordinates:
Sr 0.0000 0.0000 0.0000 x3
Sr 0.0000 0.5000 0.0000 x9
Ho 0.0000 0.5000 0.5000 x9
Ag 0.0000 0.0000 0.5000 x3
Se 0.0000 0.0000 0.2428 x6
Se 0.0054 0.5027 0.7574 x18